Crystalline LiFeCoO4 at its relaxed geometry, computed with GGA+U.

abc: 5.822 5.957 8.227
angles: 90.00 90.00 90.00
Space group Imma (No. 74)
Inequivalent atoms, fractional coordinates:
Li  0.000  0.000  0.000 x4
Fe  0.000  0.000  0.500 x4
Co  0.250  0.250  0.250 x4
O  0.000  0.042  0.253 x8
O  0.240  0.250  0.480 x8

Output
- DFT total energy (eV per atom) = -5.94
- relative energy among the computed polymorphs (meV/atom) = 0
- mass density (g cm⁻³) = 4.32